10
Lattice="-4.540 5.020 3.297 4.540 -5.020 3.297 4.540 5.020 -3.297" Properties=species:S:1:pos:R:3 comment="RbTaS3, optimized geometry, DFT PBE-GGA" m_tot_mub_per_fu=0.00 e_form_raw_kj_per_mol_atoms=-107.2 pbc="T T T"
Rb 2.270 1.022 0.000
Rb 2.270 3.998 3.297
Ta 2.270 -1.803 3.340
Ta 2.270 6.822 0.043
S 5.164 2.466 -1.586
S 3.915 -2.553 1.711
S 2.270 4.611 -0.007
S -0.624 2.553 1.711
S 5.164 2.553 1.711
S 2.270 0.409 3.291

---

10
Lattice="9.397 0.000 0.000 0.000 9.397 0.000 0.000 0.000 3.145" Properties=species:S:1:pos:R:3 comment="Rb2TaS2, optimized geometry, DFT PBE-GGA" dos_at_fermi_per_ev_atom=0.7148 m_tot_mub_per_fu=2.83 e_form_raw_kj_per_mol_atoms=63.5 relative_energy_mev_per_atom=0 pbc="T T T"
Rb 1.139 3.559 0.000
Rb 3.559 8.258 0.000
Rb 5.838 1.139 0.000
Rb 8.258 5.838 0.000
Ta 0.000 0.000 0.000
Ta 4.698 4.698 0.000
S 1.696 6.394 1.573
S 3.003 1.696 1.573
S 6.394 7.701 1.573
S 7.701 3.003 1.573

---

12
Lattice="4.339 0.000 0.000 0.000 4.905 0.000 0.000 0.000 17.123" Properties=species:S:1:pos:R:3 comment="Rb2TaS3, optimized geometry, DFT PBE-GGA" dos_at_fermi_per_ev_atom=0.2920 m_tot_mub_per_fu=0.00 e_form_raw_kj_per_mol_atoms=-79.2 pbc="T T T"
Rb 0.000 0.000 2.684
Rb 0.000 0.000 14.438
Rb 2.170 2.453 5.877
Rb 2.170 2.453 11.246
Ta 0.000 0.000 8.561
Ta 2.170 2.453 0.000
S 0.000 0.000 6.212
S 0.000 0.000 10.910
S 0.000 2.453 8.561
S 2.170 0.000 0.000
S 2.170 2.453 2.349
S 2.170 2.453 14.774